Arrangement 1

Pr2Zn2Pd3 | GGA-PBE | relaxed

Cell: 5.6817 5.6817 7.1377 Å, 109.56 109.56 41.72°
Atoms (fractional coordinates):
Pr 0.1266 0.1266 0.2572
Pr 0.8734 0.8734 0.7428
Zn 0.1518 0.1518 0.7203
Zn 0.8482 0.8482 0.2797
Pd 0.3745 0.3745 0.0621
Pd 0.5000 0.5000 0.5000
Pd 0.6255 0.6255 0.9379

- Crystal system: monoclinic
- Space group: No. 12
- Fermi-level density of states: 4.1 states/eV per cell

---

Arrangement 2

Pr2Zn2Pd3 | GGA-PBE | relaxed

Cell: 9.7290 9.7290 7.4725 Å, 90.00 90.00 155.39°
Atoms (fractional coordinates):
Pr 0.0610 0.9390 0.7500
Pr 0.1556 0.8444 0.2500
Pr 0.8444 0.1556 0.7500
Pr 0.9390 0.0610 0.2500
Zn 0.3069 0.6931 0.0560
Zn 0.3069 0.6931 0.4440
Zn 0.6931 0.3069 0.5560
Zn 0.6931 0.3069 0.9440
Pd 0.2239 0.7761 0.7500
Pd 0.4349 0.5651 0.5635
Pd 0.4349 0.5651 0.9365
Pd 0.5651 0.4349 0.0635
Pd 0.5651 0.4349 0.4365
Pd 0.7761 0.2239 0.2500

- Crystal system: orthorhombic
- Space group: No. 63
- Fermi-level density of states: 7.9 states/eV per cell

---

It is arrangement 1 that is the least stable of them.

---

Arrangement 1

PrZn9Pd2 | GGA-PBE | relaxed

Cell: 8.7853 8.7853 3.0334 Å, 90.00 90.00 120.00°
Atoms (fractional coordinates):
Pr 0.0000 0.0000 0.0000
Zn 0.0000 0.5000 0.0000
Zn 0.1867 0.3734 0.5000
Zn 0.1867 0.8133 0.5000
Zn 0.3734 0.1867 0.5000
Zn 0.5000 0.0000 0.0000
Zn 0.5000 0.5000 0.0000
Zn 0.6266 0.8133 0.5000
Zn 0.8133 0.1867 0.5000
Zn 0.8133 0.6266 0.5000
Pd 0.3333 0.6667 0.0000
Pd 0.6667 0.3333 0.0000

- Crystal system: hexagonal
- Space group: No. 191
- Fermi-level density of states: 5.5 states/eV per cell

---

Arrangement 2

PrZn9Pd2 | GGA-PBE | relaxed

Cell: 8.2926 8.2926 8.2926 Å, 100.13 100.13 130.42°
Atoms (fractional coordinates):
Pr 0.3750 0.6250 0.7500
Pr 0.6250 0.3750 0.2500
Zn 0.1250 0.8750 0.2500
Zn 0.1348 0.5568 0.3347
Zn 0.1348 0.8000 0.5780
Zn 0.2000 0.2779 0.3347
Zn 0.2000 0.8652 0.9220
Zn 0.2779 0.2000 0.8347
Zn 0.2779 0.4432 0.0780
Zn 0.4432 0.2779 0.5780
Zn 0.4432 0.8652 0.1653
Zn 0.5568 0.1348 0.8347
Zn 0.5568 0.7221 0.4220
Zn 0.7221 0.5568 0.9220
Zn 0.7221 0.8000 0.1653
Zn 0.8000 0.1348 0.0780
Zn 0.8000 0.7221 0.6653
Zn 0.8652 0.2000 0.4220
Zn 0.8652 0.4432 0.6653
Zn 0.8750 0.1250 0.7500
Pd 0.0000 0.0000 0.0000
Pd 0.0000 0.0000 0.5000
Pd 0.0000 0.5000 0.0000
Pd 0.5000 0.0000 0.5000

- Crystal system: tetragonal
- Space group: No. 141
- Fermi-level density of states: 12.4 states/eV per cell

---

It is arrangement 1 that is the least stable of them.

---

Arrangement 1

PrZn3Pd3 | GGA-PBE | relaxed

Cell: 8.3118 8.3118 8.3118 Å, 60.00 60.00 60.00°
Atoms (fractional coordinates):
Pr 0.2500 0.2500 0.2500
Pr 0.7500 0.7500 0.7500
Zn 0.1494 0.1494 0.8506
Zn 0.1494 0.8506 0.1494
Zn 0.1494 0.8506 0.8506
Zn 0.8506 0.1494 0.1494
Zn 0.8506 0.1494 0.8506
Zn 0.8506 0.8506 0.1494
Pd 0.3417 0.3417 0.6583
Pd 0.3417 0.6583 0.3417
Pd 0.3417 0.6583 0.6583
Pd 0.6583 0.3417 0.3417
Pd 0.6583 0.3417 0.6583
Pd 0.6583 0.6583 0.3417

- Crystal system: cubic
- Space group: No. 225
- Fermi-level density of states: 15.4 states/eV per cell

---

Arrangement 2

PrZn3Pd3 | GGA-PBE | relaxed

Cell: 7.4857 7.4857 7.4857 Å, 54.16 54.16 54.16°
Atoms (fractional coordinates):
Pr 0.1576 0.1576 0.1576
Pr 0.8424 0.8424 0.8424
Zn 0.0702 0.5845 0.2405
Zn 0.2405 0.0702 0.5845
Zn 0.4155 0.7595 0.9298
Zn 0.5845 0.2405 0.0702
Zn 0.7595 0.9298 0.4155
Zn 0.9298 0.4155 0.7595
Pd 0.1967 0.6688 0.4347
Pd 0.3312 0.5653 0.8033
Pd 0.4347 0.1967 0.6688
Pd 0.5653 0.8033 0.3312
Pd 0.6688 0.4347 0.1967
Pd 0.8033 0.3312 0.5653

- Crystal system: trigonal
- Space group: No. 148
- Fermi-level density of states: 6.2 states/eV per cell

---

It is arrangement 1 that is the least stable of them.

---

Arrangement 1

Pr3Zn3Pd8 | GGA-PBE | relaxed

Cell: 8.2439 8.2439 9.1243 Å, 122.80 122.80 31.57°
Atoms (fractional coordinates):
Pr 0.0000 0.0000 0.0000
Pr 0.3002 0.3002 0.3213
Pr 0.6998 0.6998 0.6787
Zn 0.0000 0.0000 0.5000
Zn 0.3285 0.3285 0.9904
Zn 0.6715 0.6715 0.0096
Pd 0.1242 0.1242 0.4046
Pd 0.1290 0.1290 0.8435
Pd 0.3404 0.3404 0.7249
Pd 0.4964 0.4964 0.3188
Pd 0.5036 0.5036 0.6812
Pd 0.6596 0.6596 0.2751
Pd 0.8710 0.8710 0.1565
Pd 0.8758 0.8758 0.5954

- Crystal system: monoclinic
- Space group: No. 12
- Fermi-level density of states: 6.9 states/eV per cell

---

Arrangement 2

Pr3Zn3Pd8 | GGA-PBE | relaxed

Cell: 8.4120 8.4120 8.4120 Å, 149.99 111.08 76.96°
Atoms (fractional coordinates):
Pr 0.0000 0.0000 0.0000
Pr 0.3003 0.3003 0.0000
Pr 0.6997 0.6997 0.0000
Zn 0.2678 0.5000 0.7678
Zn 0.5000 0.0000 0.5000
Zn 0.7322 0.5000 0.2322
Pd 0.0335 0.6795 0.3540
Pd 0.1789 0.8889 0.2900
Pd 0.3256 0.6795 0.6460
Pd 0.4012 0.1111 0.2900
Pd 0.5988 0.8889 0.7100
Pd 0.6744 0.3205 0.3540
Pd 0.8211 0.1111 0.7100
Pd 0.9665 0.3205 0.6460

- Crystal system: orthorhombic
- Space group: No. 71
- Fermi-level density of states: 5.8 states/eV per cell

---

It is arrangement 2 that is the least stable of them.

---

Arrangement 1

PrZn4Pd2 | GGA-PBE | relaxed

Cell: 5.9605 5.9605 5.9605 Å, 103.41 103.41 122.43°
Atoms (fractional coordinates):
Pr 0.0000 0.0000 0.0000
Zn 0.2653 0.5000 0.7653
Zn 0.5000 0.2653 0.7653
Zn 0.5000 0.7347 0.2347
Zn 0.7347 0.5000 0.2347
Pd 0.2500 0.7500 0.5000
Pd 0.7500 0.2500 0.5000

- Crystal system: tetragonal
- Space group: No. 139
- Fermi-level density of states: 4.9 states/eV per cell

---

Arrangement 2

PrZn4Pd2 | GGA-PBE | relaxed

Cell: 7.6577 7.6577 4.2538 Å, 90.00 90.00 90.00°
Atoms (fractional coordinates):
Pr 0.0000 0.0000 0.0000
Pr 0.5000 0.5000 0.5000
Zn 0.0935 0.3515 0.5000
Zn 0.1485 0.5935 0.0000
Zn 0.3515 0.0935 0.5000
Zn 0.4065 0.8515 0.0000
Zn 0.5935 0.1485 0.0000
Zn 0.6485 0.9065 0.5000
Zn 0.8515 0.4065 0.0000
Zn 0.9065 0.6485 0.5000
Pd 0.2206 0.7794 0.5000
Pd 0.2794 0.2794 0.0000
Pd 0.7206 0.7206 0.0000
Pd 0.7794 0.2206 0.5000

- Crystal system: tetragonal
- Space group: No. 136
- Fermi-level density of states: 5.7 states/eV per cell

---

It is arrangement 1 that is the least stable of them.

---

Arrangement 1

Pr2ZnPd4 | GGA-PBE | relaxed

Cell: 6.2466 6.0301 6.0099 Å, 62.51 58.91 58.59°
Atoms (fractional coordinates):
Pr 0.2500 0.2500 0.2500
Pr 0.7500 0.7500 0.7500
Zn 0.0000 0.0000 0.0000
Pd 0.2821 0.2821 0.7179
Pd 0.2845 0.7155 0.2845
Pd 0.7155 0.2845 0.7155
Pd 0.7179 0.7179 0.2821

- Crystal system: orthorhombic
- Space group: No. 69
- Fermi-level density of states: 3.1 states/eV per cell

---

Arrangement 2

Pr2ZnPd4 | GGA-PBE | relaxed

Cell: 4.9233 4.1356 7.3516 Å, 90.00 91.31 90.00°
Atoms (fractional coordinates):
Pr 0.2472 0.0000 0.3189
Pr 0.7528 0.0000 0.6811
Zn 0.5000 0.5000 0.0000
Pd 0.2414 0.0000 0.8990
Pd 0.2579 0.5000 0.6332
Pd 0.7421 0.5000 0.3668
Pd 0.7586 0.0000 0.1010

- Crystal system: monoclinic
- Space group: No. 10
- Fermi-level density of states: 2.4 states/eV per cell

---

It is arrangement 1 that is the least stable of them.